--- P ---
Computed, not measured: Y2SnO after structural relaxation at the PBE level of DFT.

Calculated density   6.237 g cm⁻³

Lattice parameters (Å, degrees): 3.5592 3.5592 22.7526 90.00 90.00 120.00
Space group R-3m (No. 166, hexagonal axes)
Unique sites:
Y  0.0000  0.0000  0.2244
Sn  0.0000  0.0000  0.0000
O  0.0000  0.0000  0.5000

***

--- Q ---
Computed, not measured: Y2SnO after structural relaxation at the PBE level of DFT.

Calculated density   5.784 g cm⁻³

Lattice parameters (Å, degrees): 4.516 8.797 4.516 90.00 90.00 90.00
Space group Pmn2_1 (No. 31)
Unique sites:
Y  0.000  0.000  0.000
Y  0.000  0.334  0.501
Sn  0.000  0.700  0.502
O  0.000  0.073  0.500

***

--- R ---
Computed, not measured: Y2SnO after structural relaxation at the PBE level of DFT.

Calculated density   5.467 g cm⁻³

Lattice parameters (Å, degrees): 6.963 6.963 7.830 90.00 90.00 90.00
Space group I-42d (No. 122)
Unique sites:
Y  0.149  0.250  0.125
Sn  0.000  0.000  0.500
O  0.000  0.000  0.000

***

Which structure loses on stability? P does.

***

--- P ---
Computed, not measured: YSn3O after structural relaxation at the PBE level of DFT.

Calculated density   6.831 g cm⁻³

Lattice parameters (Å, degrees): 4.821 4.821 4.821 90.00 90.00 90.00
Space group Pm-3m (No. 221)
Unique sites:
Y  0.000  0.000  0.000
Sn  0.000  0.500  0.500
O  0.500  0.500  0.500

***

--- Q ---
Computed, not measured: YSn3O after structural relaxation at the PBE level of DFT.

Calculated density   3.811 g cm⁻³

Lattice parameters (Å, degrees): 5.857 5.857 5.857 90.00 90.00 90.00
Space group Pm-3m (No. 221)
Unique sites:
Y  0.000  0.000  0.000
Sn  0.000  0.000  0.500
O  0.500  0.500  0.500

***

Which structure loses on stability? Q does.

***

--- P ---
Computed, not measured: Zn2Sn3O8 after structural relaxation at the PBE level of DFT.

Calculated density   6.064 g cm⁻³

Lattice parameters (Å, degrees): 10.067 6.212 5.472 90.00 100.19 90.00
Space group C2/m (No. 12)
Unique sites:
Zn  0.199  0.000  0.075
Sn  0.000  0.244  0.500
Sn  0.000  0.500  0.000
O  0.104  0.500  0.363
O  0.107  0.000  0.371
O  0.124  0.272  0.863

***

--- Q ---
Computed, not measured: Zn2Sn3O8 after structural relaxation at the PBE level of DFT.

Calculated density   6.187 g cm⁻³

Lattice parameters (Å, degrees): 6.3343 6.3343 9.4991 90.00 90.00 120.00
Space group P6_3mc (No. 186)
Unique sites:
Zn  0.3333  0.6667  0.0000
Zn  0.3333  0.6667  0.3647
Sn  0.1640  0.3281  0.7036
O  0.0000  0.0000  0.3170
O  0.0325  0.5163  0.8289
O  0.1660  0.3319  0.0978
O  0.3333  0.6667  0.5857

***

Which structure loses on stability? P does.